# 1
Density functional theory data (GGA-PBE) for Pm8As3Se4O after structural relaxation.

Summary:
* ΔE_f (raw): -1.801 eV per atom
* crystal system: trigonal

Lattice parameters (Å, degrees): 8.2489 8.2489 20.5752 90.00 90.00 120.00
Space group R-3m (No. 166, hexagonal axes)
Asymmetric unit:
Pm  0.0000  0.0000  0.2468 (multiplicity 6)
Pm  0.0181  0.5091  0.2423 (multiplicity 18)
As  0.0000  0.5000  0.5000 (multiplicity 9)
Se  0.0000  0.0000  0.0000 (multiplicity 3)
Se  0.0000  0.5000  0.0000 (multiplicity 9)
O  0.0000  0.0000  0.5000 (multiplicity 3)


# 2
Density functional theory data (GGA-PBE) for BeVPb2 after structural relaxation.

Summary:
* ΔE_f: 0.808 eV per atom
* crystal system: tetragonal

Lattice parameters (Å, degrees): 7.608 7.608 6.038 90.00 90.00 90.00
Space group I-42d (No. 122)
Asymmetric unit:
Be  0.000  0.000  0.000 (multiplicity 4)
V  0.000  0.000  0.500 (multiplicity 4)
Pb  0.205  0.750  0.125 (multiplicity 8)


# 3
Density functional theory data (GGA-PBE) for Er4Cd5Ni2 after structural relaxation.

Summary:
* ΔE_f: -0.366 eV per atom
* crystal system: monoclinic

Lattice parameters (Å, degrees): 7.604 3.521 9.428 90.00 93.82 90.00
Space group P2/m (No. 10)
Asymmetric unit:
Er  0.166  0.000  0.341 (multiplicity 2)
Er  0.216  0.000  0.945 (multiplicity 2)
Cd  0.181  0.500  0.648 (multiplicity 2)
Cd  0.450  0.500  0.175 (multiplicity 2)
Cd  0.500  0.500  0.500 (multiplicity 1)
Ni  0.065  0.500  0.132 (multiplicity 2)


# 4
Density functional theory data (GGA-PBE) for Ac2Cu3Pd after structural relaxation.

Summary:
* ΔE_f: -0.387 eV per atom
* crystal system: orthorhombic

Lattice parameters (Å, degrees): 4.109 4.400 7.727 90.00 90.00 90.00
Space group Pmm2 (No. 25)
Asymmetric unit:
Ac  0.000  0.000  0.000 (multiplicity 1)
Ac  0.000  0.500  0.492 (multiplicity 1)
Cu  0.500  0.000  0.673 (multiplicity 1)
Cu  0.500  0.500  0.152 (multiplicity 1)
Cu  0.500  0.500  0.828 (multiplicity 1)
Pd  0.500  0.000  0.334 (multiplicity 1)


# 5
Density functional theory data (GGA-PBE) for NpTc4P4 after structural relaxation.

Summary:
* ΔE_f: -0.390 eV per atom
* crystal system: tetragonal

Lattice parameters (Å, degrees): 5.967 5.967 7.831 90.00 90.00 90.00
Space group P4_2/nmc (No. 137, origin choice 2)
Asymmetric unit:
Np  0.250  0.750  0.250 (multiplicity 2)
Tc  0.008  0.250  0.124 (multiplicity 8)
P  0.048  0.250  0.424 (multiplicity 8)


# 6
Density functional theory data (GGA-PBE) for CsCd3As after structural relaxation.

Summary:
* ΔE_f: 0.913 eV per atom
* crystal system: cubic
* polymorph energy (0 for the lowest one): 79.04 kJ/mol of atoms

Lattice parameters (Å, degrees): 7.129 7.129 7.129 90.00 90.00 90.00
Space group Pm-3m (No. 221)
Asymmetric unit:
Cs  0.000  0.000  0.000 (multiplicity 1)
Cd  0.000  0.000  0.500 (multiplicity 3)
As  0.500  0.500  0.500 (multiplicity 1)


# 7
Density functional theory data (GGA-PBE) for ScCuPtO4 after structural relaxation.

Summary:
* ΔE_f (raw): -1.508 eV per atom
* crystal system: orthorhombic

Lattice parameters (Å, degrees): 6.285 6.289 8.558 90.00 90.00 90.00
Space group Imma (No. 74)
Asymmetric unit:
Sc  0.250  0.250  0.250 (multiplicity 4)
Cu  0.000  0.250  0.633 (multiplicity 4)
Pt  0.000  0.000  0.000 (multiplicity 4)
O  0.000  0.026  0.244 (multiplicity 8)
O  0.221  0.250  0.999 (multiplicity 8)


# 8
Density functional theory data (GGA-PBE) for LiTc after structural relaxation.

Summary:
* ΔE_f: 0.207 eV per atom
* crystal system: cubic
* polymorph energy (0 for the lowest one): 10.91 kJ/mol of atoms

Lattice parameters (Å, degrees): 5.974 5.974 5.974 90.00 90.00 90.00
Space group Fd-3m (No. 227, origin choice 2)
Asymmetric unit:
Li  0.125  0.125  0.125 (multiplicity 8)
Tc  0.125  0.125  0.625 (multiplicity 8)


# 9
Density functional theory data (GGA-PBE) for LaPm4SmEr2 after structural relaxation.

Summary:
* ΔE_f: 0.020 eV per atom
* crystal system: monoclinic

Lattice parameters (Å, degrees): 5.115 5.138 10.259 90.00 90.07 90.00
Space group P2/m (No. 10)
Asymmetric unit:
La  0.000  0.000  0.000 (multiplicity 1)
Pm  0.000  0.500  0.252 (multiplicity 2)
Pm  0.500  0.000  0.253 (multiplicity 2)
Sm  0.500  0.500  0.500 (multiplicity 1)
Er  0.000  0.000  0.500 (multiplicity 1)
Er  0.500  0.500  0.000 (multiplicity 1)


# 10
Density functional theory data (GGA-PBE) for Fe2CoPt3 after structural relaxation.

Summary:
* ΔE_f: -0.201 eV per atom
* crystal system: orthorhombic

Lattice parameters (Å, degrees): 3.852 11.554 7.506 90.00 90.00 90.00
Space group Cmmm (No. 65)
Asymmetric unit:
Fe  0.000  0.000  0.000 (multiplicity 2)
Fe  0.000  0.000  0.500 (multiplicity 2)
Fe  0.000  0.334  0.000 (multiplicity 4)
Co  0.000  0.331  0.500 (multiplicity 4)
Pt  0.000  0.167  0.252 (multiplicity 8)
Pt  0.000  0.500  0.252 (multiplicity 4)


# 11
Density functional theory data (GGA-PBE) for TlNi2Pt after structural relaxation.

Summary:
* ΔE_f: 0.095 eV per atom
* crystal system: tetragonal
* polymorph energy (0 for the lowest one): 0.00 kJ/mol of atoms

Lattice parameters (Å, degrees): 4.025 4.025 3.684 90.00 90.00 90.00
Space group P4/mmm (No. 123)
Asymmetric unit:
Tl  0.000  0.000  0.000 (multiplicity 1)
Ni  0.000  0.500  0.500 (multiplicity 2)
Pt  0.500  0.500  0.000 (multiplicity 1)


# 12
Density functional theory data (GGA-PBE) for HfCuAg3 after structural relaxation.

Summary:
* ΔE_f: 1.457 eV per atom
* crystal system: cubic
* polymorph energy (0 for the lowest one): 69.16 kJ/mol of atoms

Lattice parameters (Å, degrees): 5.245 5.245 5.245 90.00 90.00 90.00
Space group Pm-3m (No. 221)
Asymmetric unit:
Hf  0.000  0.000  0.000 (multiplicity 1)
Cu  0.500  0.500  0.500 (multiplicity 1)
Ag  0.000  0.000  0.500 (multiplicity 3)


| no. | electronic total energy (eV per atom) | Fermi-level density of states (states/eV/cell) | magnetic moment (μB/cell) |
| --- | --- | --- | --- |
| 1 | -6.229 | 23.59 | 0.00 |
| 2 | -4.257 | 22.68 | 11.15 |
| 3 | -3.492 | 7.53 | 0.00 |
| 4 | -4.670 | 3.95 | 0.00 |
| 5 | -8.839 | 31.08 | 7.70 |
| 6 | -0.736 | 7.36 | 2.05 |
| 7 | -6.694 | 0.14 | 0.00 |
| 8 | -5.933 | 13.49 | 0.00 |
| 9 | -4.702 | 12.36 | 0.00 |
| 10 | -7.227 | 19.95 | 36.74 |
| 11 | -4.897 | 4.92 | 0.55 |
| 12 | -3.064 | 4.88 | 0.00 |